(1)
The following is a PBE calculation of an optimized crystal structure of Ag2Cl3, from Alexandria.

energy: -2.64 eV/atom
DOS(E_F): 5.25 states/eV/cell
magnetic moment: 0.0 μB/f.u.
space-group type: C2/c
energy above the most stable polymorph in this dataset: 0 meV per atom

Cell lengths 6.5000, 6.5000, 7.2267 Å; angles 105.55, 105.55, 112.79 degrees
Atoms (fractional coordinates):
Ag 0.0900 0.9100 0.7500
Ag 0.2575 0.7425 0.2500
Ag 0.7425 0.2575 0.7500
Ag 0.9100 0.0900 0.2500
Cl 0.0000 0.5000 0.5000
Cl 0.1539 0.3204 0.9959
Cl 0.3204 0.1539 0.4959
Cl 0.5000 0.0000 0.0000
Cl 0.6796 0.8461 0.5041
Cl 0.8461 0.6796 0.0041


(2)
The following is a PBE calculation of an optimized crystal structure of CuMoAs2, from Alexandria.

energy: -5.83 eV/atom
DOS(E_F): 2.66 states/eV/cell
magnetic moment: 0.0 μB/f.u.
space-group type: Cmm2
energy of formation: 0.229 eV per atom
energy above the most stable polymorph in this dataset: 247 meV per atom

Cell lengths 2.7905, 2.7905, 9.3972 Å; angles 90.00, 90.00, 101.56 degrees
Atoms (fractional coordinates):
Cu 0.0000 0.0000 0.0000
Mo 0.5000 0.5000 0.7876
As 0.0000 0.0000 0.5795
As 0.5000 0.5000 0.1975


(3)
The following is a PBE calculation of an optimized crystal structure of AcZn2Ag, from Alexandria.

energy: -2.45 eV/atom
DOS(E_F): 3.21 states/eV/cell
magnetic moment: 0.0 μB/f.u.
space-group type: P4/mmm
energy of formation: -0.076 eV per atom

Cell lengths 3.6110, 3.6110, 7.0311 Å; angles 90.00, 90.00, 90.00 degrees
Atoms (fractional coordinates):
Ac 0.0000 0.0000 0.0000
Zn 0.5000 0.5000 0.3112
Zn 0.5000 0.5000 0.6888
Ag 0.0000 0.0000 0.5000


(4)
The following is a PBE calculation of an optimized crystal structure of Mo2PBr, from Alexandria.

energy: -7.05 eV/atom
DOS(E_F): 3.09 states/eV/cell
magnetic moment: 0.0 μB/f.u.
space-group type: P2/m
energy above the most stable polymorph in this dataset: 93 meV per atom

Cell lengths 4.4012, 3.4470, 5.8945 Å; angles 90.00, 90.16, 90.00 degrees
Atoms (fractional coordinates):
Mo 0.1874 0.0000 0.1315
Mo 0.8126 0.0000 0.8685
P 0.5000 0.5000 0.0000
Br 0.0000 0.5000 0.5000


(5)
The following is a PBE calculation of an optimized crystal structure of GaSiPd5, from Alexandria.

energy: -5.34 eV/atom
DOS(E_F): 6.30 states/eV/cell
magnetic moment: 0.0 μB/f.u.
space-group type: C2/c

Cell lengths 5.3468, 5.3468, 8.6583 Å; angles 94.65, 94.65, 63.51 degrees
Atoms (fractional coordinates):
Ga 0.0000 0.0000 0.0000
Ga 0.0000 0.0000 0.5000
Si 0.3966 0.6034 0.7500
Si 0.6034 0.3966 0.2500
Pd 0.0379 0.3727 0.2066
Pd 0.1938 0.8062 0.2500
Pd 0.2773 0.4426 0.4983
Pd 0.3727 0.0379 0.7066
Pd 0.4426 0.2773 0.9983
Pd 0.5574 0.7227 0.0017
Pd 0.6273 0.9621 0.2934
Pd 0.7227 0.5574 0.5017
Pd 0.8062 0.1938 0.7500
Pd 0.9621 0.6273 0.7934


(6)
The following is a PBE calculation of an optimized crystal structure of GdMgIr, from Alexandria.

energy: -8.62 eV/atom
DOS(E_F): 1.27 states/eV/cell
magnetic moment: 7.0 μB/f.u.
space-group type: I4mm
energy of formation: -0.439 eV per atom

Cell lengths 6.2885, 6.2885, 6.2885 Å; angles 149.20, 149.20, 44.12 degrees
Atoms (fractional coordinates):
Gd 0.0000 0.0000 0.0000
Mg 0.7290 0.7290 0.0000
Ir 0.3567 0.3567 0.0000


(7)
The following is a PBE calculation of an optimized crystal structure of BaMn2Au, from Alexandria.

energy: -5.51 eV/atom
DOS(E_F): 3.65 states/eV/cell
magnetic moment: 8.5 μB/f.u.
space-group type: P4/mmm
energy of formation: 0.374 eV per atom

Cell lengths 3.4970, 3.4970, 7.7953 Å; angles 90.00, 90.00, 90.00 degrees
Atoms (fractional coordinates):
Ba 0.0000 0.0000 0.0000
Mn 0.5000 0.5000 0.3275
Mn 0.5000 0.5000 0.6725
Au 0.0000 0.0000 0.5000


(8)
The following is a PBE calculation of an optimized crystal structure of KNa2HPb, from Alexandria.

energy: -2.18 eV/atom
DOS(E_F): 3.26 states/eV/cell
magnetic moment: 0.0 μB/f.u.
space-group type: P4/mmm

Cell lengths 5.0387, 5.0387, 5.3215 Å; angles 90.00, 90.00, 90.00 degrees
Atoms (fractional coordinates):
K 0.0000 0.0000 0.0000
Na 0.0000 0.5000 0.5000
Na 0.5000 0.0000 0.5000
H 0.0000 0.0000 0.5000
Pb 0.5000 0.5000 0.0000


(9)
The following is a PBE calculation of an optimized crystal structure of AlZnW2, from Alexandria.

energy: -7.54 eV/atom
DOS(E_F): 1.79 states/eV/cell
magnetic moment: 0.0 μB/f.u.
space-group type: P4/mmm
energy of formation: 0.189 eV per atom
energy above the most stable polymorph in this dataset: 127 meV per atom

Cell lengths 2.7004, 2.7004, 8.4281 Å; angles 90.00, 90.00, 90.00 degrees
Atoms (fractional coordinates):
Al 0.0000 0.0000 0.0000
Zn 0.0000 0.0000 0.5000
W 0.5000 0.5000 0.2482
W 0.5000 0.5000 0.7518


(10)
The following is a PBE calculation of an optimized crystal structure of Tb4Ho2ErTm2, from Alexandria.

energy: -4.57 eV/atom
DOS(E_F): 12.09 states/eV/cell
magnetic moment: 0.0 μB/f.u.
space-group type: C2/m
energy of formation: 0.007 eV per atom

Cell lengths 9.4085, 9.4085, 9.4366 Å; angles 115.27, 115.27, 21.80 degrees
Atoms (fractional coordinates):
Tb 0.0184 0.0184 0.3333
Tb 0.3148 0.3148 0.6675
Tb 0.6852 0.6852 0.3325
Tb 0.9816 0.9816 0.6667
Ho 0.3516 0.3516 0.3317
Ho 0.6484 0.6484 0.6683
Er 0.5000 0.5000 0.0000
Tm 0.1670 0.1670 0.9997
Tm 0.8330 0.8330 0.0003


(11)
The following is a PBE calculation of an optimized crystal structure of PuMgCuAg, from Alexandria.

energy: -5.65 eV/atom
DOS(E_F): 13.26 states/eV/cell
magnetic moment: 6.0 μB/f.u.
space-group type: F-43m
energy of formation: 0.065 eV per atom

Cell lengths 4.9198, 4.9198, 4.9198 Å; angles 60.00, 60.00, 60.00 degrees
Atoms (fractional coordinates):
Pu 0.0000 0.0000 0.0000
Mg 0.5000 0.5000 0.5000
Cu 0.7500 0.7500 0.7500
Ag 0.2500 0.2500 0.2500


(12)
The following is a PBE calculation of an optimized crystal structure of Li4LaMg, from Alexandria.

energy: -2.37 eV/atom
DOS(E_F): 3.79 states/eV/cell
magnetic moment: 0.0 μB/f.u.
space-group type: F-43m
energy of formation: -0.005 eV per atom

Cell lengths 5.7817, 5.7817, 5.7817 Å; angles 60.00, 60.00, 60.00 degrees
Atoms (fractional coordinates):
Li 0.1227 0.1227 0.1227
Li 0.1227 0.1227 0.6319
Li 0.1227 0.6319 0.1227
Li 0.6319 0.1227 0.1227
La 0.5000 0.5000 0.5000
Mg 0.7500 0.7500 0.7500


(13)
The following is a PBE calculation of an optimized crystal structure of Ti4GaCo, from Alexandria.

energy: -7.21 eV/atom
DOS(E_F): 13.51 states/eV/cell
magnetic moment: 0.0 μB/f.u.
space-group type: P2_1/c
energy of formation: -0.253 eV per atom
energy above the most stable polymorph in this dataset: 21 meV per atom

Cell lengths 5.1205, 6.9131, 5.2852 Å; angles 90.00, 90.06, 90.00 degrees
Atoms (fractional coordinates):
Ti 0.1980 0.2497 0.2501
Ti 0.1980 0.2503 0.7501
Ti 0.2732 0.6252 0.0001
Ti 0.2732 0.8748 0.5001
Ti 0.7268 0.1252 0.4999
Ti 0.7268 0.3748 0.9999
Ti 0.8020 0.7497 0.2499
Ti 0.8020 0.7503 0.7499
Ga 0.5000 0.0000 0.0000
Ga 0.5000 0.5000 0.5000
Co 0.0000 0.0000 0.0000
Co 0.0000 0.5000 0.5000


(14)
The following is a PBE calculation of an optimized crystal structure of NaCaAgSb, from Alexandria.

energy: -3.02 eV/atom
DOS(E_F): 1.99 states/eV/cell
magnetic moment: 0.0 μB/f.u.
space-group type: F-43m

Cell lengths 5.2540, 5.2540, 5.2540 Å; angles 60.00, 60.00, 60.00 degrees
Atoms (fractional coordinates):
Na 0.0000 0.0000 0.0000
Ca 0.5000 0.5000 0.5000
Ag 0.2500 0.2500 0.2500
Sb 0.7500 0.7500 0.7500


(15)
The following is a PBE calculation of an optimized crystal structure of Rb2Tl4CdAu3, from Alexandria.

energy: -2.35 eV/atom
DOS(E_F): 3.60 states/eV/cell
magnetic moment: 0.0 μB/f.u.
space-group type: P-4m2
energy of formation: -0.140 eV per atom

Cell lengths 5.3341, 5.3341, 11.0144 Å; angles 90.00, 90.00, 90.00 degrees
Atoms (fractional coordinates):
Rb 0.0000 0.5000 0.2460
Rb 0.5000 0.0000 0.7540
Tl 0.0000 0.0000 0.5000
Tl 0.0000 0.5000 0.8764
Tl 0.5000 0.0000 0.1236
Tl 0.5000 0.5000 0.5000
Cd 0.5000 0.5000 0.0000
Au 0.0000 0.0000 0.0000
Au 0.0000 0.5000 0.6152
Au 0.5000 0.0000 0.3848


(16)
The following is a PBE calculation of an optimized crystal structure of DySc2OsO8, from Alexandria.

energy: -8.20 eV/atom
DOS(E_F): 2.81 states/eV/cell
magnetic moment: 1.0 μB/f.u.
space-group type: Cmmm

Cell lengths 4.8657, 4.8657, 6.5242 Å; angles 90.00, 90.00, 90.37 degrees
Atoms (fractional coordinates):
Dy 0.0000 0.0000 0.0000
Sc 0.5000 0.5000 0.2398
Sc 0.5000 0.5000 0.7602
Os 0.0000 0.0000 0.5000
O 0.1940 0.1940 0.2874
O 0.1940 0.1940 0.7126
O 0.2730 0.7270 0.5000
O 0.3163 0.6837 0.0000
O 0.6837 0.3163 0.0000
O 0.7270 0.2730 0.5000
O 0.8060 0.8060 0.2874
O 0.8060 0.8060 0.7126


(17)
The following is a PBE calculation of an optimized crystal structure of BaCu3W, from Alexandria.

energy: -4.64 eV/atom
DOS(E_F): 6.14 states/eV/cell
magnetic moment: 0.0 μB/f.u.
space-group type: Pm-3m
energy of formation: 0.795 eV per atom
energy above the most stable polymorph in this dataset: 0 meV per atom

Cell lengths 4.8997, 4.8997, 4.8997 Å; angles 90.00, 90.00, 90.00 degrees
Atoms (fractional coordinates):
Ba 0.0000 0.0000 0.0000
Cu 0.0000 0.5000 0.5000
Cu 0.5000 0.0000 0.5000
Cu 0.5000 0.5000 0.0000
W 0.5000 0.5000 0.5000


(18)
The following is a PBE calculation of an optimized crystal structure of TiReH2Pt, from Alexandria.

energy: -5.92 eV/atom
DOS(E_F): 1.91 states/eV/cell
magnetic moment: 0.9 μB/f.u.
space-group type: P4/mmm

Cell lengths 3.4934, 3.4934, 5.3934 Å; angles 90.00, 90.00, 90.00 degrees
Atoms (fractional coordinates):
Ti 0.0000 0.0000 0.0000
Re 0.5000 0.5000 0.0000
H 0.0000 0.5000 0.5000
H 0.5000 0.0000 0.5000
Pt 0.0000 0.0000 0.5000


(19)
The following is a PBE calculation of an optimized crystal structure of CsTiSi3, from Alexandria.

energy: -4.70 eV/atom
DOS(E_F): 1.92 states/eV/cell
magnetic moment: 0.0 μB/f.u.
space-group type: Pm-3m
energy above the most stable polymorph in this dataset: 0 meV per atom

Cell lengths 4.9966, 4.9966, 4.9966 Å; angles 90.00, 90.00, 90.00 degrees
Atoms (fractional coordinates):
Cs 0.0000 0.0000 0.0000
Ti 0.5000 0.5000 0.5000
Si 0.0000 0.5000 0.5000
Si 0.5000 0.0000 0.5000
Si 0.5000 0.5000 0.0000


(20)
The following is a PBE calculation of an optimized crystal structure of Tb12Pm6Nd, from Alexandria.

energy: -4.47 eV/atom
DOS(E_F): 32.28 states/eV/cell
magnetic moment: 0.0 μB/f.u.
space-group type: R-3m
energy of formation: 0.207 eV per atom
energy above the most stable polymorph in this dataset: 59 meV per atom

Cell lengths 8.7762, 8.7762, 8.7762 Å; angles 98.77, 98.77, 98.77 degrees
Atoms (fractional coordinates):
Tb 0.0000 0.2578 0.7422
Tb 0.0000 0.7422 0.2578
Tb 0.1440 0.1440 0.4179
Tb 0.1440 0.4179 0.1440
Tb 0.2578 0.0000 0.7422
Tb 0.2578 0.7422 0.0000
Tb 0.4179 0.1440 0.1440
Tb 0.5821 0.8560 0.8560
Tb 0.7422 0.0000 0.2578
Tb 0.7422 0.2578 0.0000
Tb 0.8560 0.5821 0.8560
Tb 0.8560 0.8560 0.5821
Pm 0.1557 0.5979 0.5979
Pm 0.4021 0.4021 0.8443
Pm 0.4021 0.8443 0.4021
Pm 0.5979 0.1557 0.5979
Pm 0.5979 0.5979 0.1557
Pm 0.8443 0.4021 0.4021
Nd 0.5000 0.5000 0.5000


(21)
The following is a PBE calculation of an optimized crystal structure of Th8SnGe5, from Alexandria.

energy: -6.81 eV/atom
DOS(E_F): 11.55 states/eV/cell
magnetic moment: 0.0 μB/f.u.
space-group type: I-4
energy of formation: -0.639 eV per atom

Cell lengths 7.9559, 7.9559, 7.9559 Å; angles 109.34, 109.34, 109.74 degrees
Atoms (fractional coordinates):
Th 0.0188 0.1225 0.7646
Th 0.2464 0.4909 0.6168
Th 0.3579 0.2542 0.2354
Th 0.3704 0.7536 0.2445
Th 0.5091 0.1259 0.7555
Th 0.7458 0.9812 0.1037
Th 0.8741 0.6296 0.3832
Th 0.8775 0.6421 0.8963
Sn 0.7500 0.2500 0.5000
Ge 0.1303 0.0064 0.3838
Ge 0.2535 0.8697 0.8761
Ge 0.5000 0.5000 0.0000
Ge 0.6226 0.7465 0.6162
Ge 0.9936 0.3774 0.1239


(22)
The following is a PBE calculation of an optimized crystal structure of PmGaCoH2, from Alexandria.

energy: -4.78 eV/atom
DOS(E_F): 4.30 states/eV/cell
magnetic moment: 0.6 μB/f.u.
space-group type: Cmcm

Cell lengths 5.6909, 5.6909, 5.8763 Å; angles 90.00, 90.00, 140.31 degrees
Atoms (fractional coordinates):
Pm 0.2020 0.7980 0.7500
Pm 0.7980 0.2020 0.2500
Ga 0.0720 0.9280 0.2500
Ga 0.9280 0.0720 0.7500
Co 0.5000 0.5000 0.0000
Co 0.5000 0.5000 0.5000
H 0.3499 0.6501 0.0462
H 0.3499 0.6501 0.4538
H 0.6501 0.3499 0.5462
H 0.6501 0.3499 0.9538


(23)
The following is a PBE calculation of an optimized crystal structure of SmAlZnPd3, from Alexandria.

energy: -4.78 eV/atom
DOS(E_F): 6.96 states/eV/cell
magnetic moment: 0.0 μB/f.u.
space-group type: Cmcm
energy of formation: -0.559 eV per atom

Cell lengths 6.8516, 6.8516, 5.7846 Å; angles 90.00, 90.00, 121.76 degrees
Atoms (fractional coordinates):
Sm 0.2047 0.7953 0.7500
Sm 0.7953 0.2047 0.2500
Al 0.1275 0.8725 0.2500
Al 0.8725 0.1275 0.7500
Zn 0.4496 0.5504 0.7500
Zn 0.5504 0.4496 0.2500
Pd 0.2083 0.2083 0.0000
Pd 0.2083 0.2083 0.5000
Pd 0.3305 0.6695 0.2500
Pd 0.6695 0.3305 0.7500
Pd 0.7917 0.7917 0.0000
Pd 0.7917 0.7917 0.5000


(24)
The following is a PBE calculation of an optimized crystal structure of Dy3Si5Rh6, from Alexandria.

energy: -7.12 eV/atom
DOS(E_F): 9.25 states/eV/cell
magnetic moment: 0.0 μB/f.u.
space-group type: Pmmn

Cell lengths 3.9802, 12.4054, 9.6182 Å; angles 90.00, 90.00, 90.00 degrees
Atoms (fractional coordinates):
Dy 0.2500 0.0901 0.2479
Dy 0.2500 0.4099 0.2479
Dy 0.2500 0.7500 0.2437
Dy 0.7500 0.2500 0.7563
Dy 0.7500 0.5901 0.7521
Dy 0.7500 0.9099 0.7521
Si 0.2500 0.0775 0.6487
Si 0.2500 0.4225 0.6487
Si 0.2500 0.6294 0.9858
Si 0.2500 0.7500 0.6158
Si 0.2500 0.8706 0.9858
Si 0.7500 0.1294 0.0142
Si 0.7500 0.2500 0.3842
Si 0.7500 0.3706 0.0142
Si 0.7500 0.5775 0.3513
Si 0.7500 0.9225 0.3513
Rh 0.2500 0.0489 0.8994
Rh 0.2500 0.2500 0.0146
Rh 0.2500 0.2500 0.5190
Rh 0.2500 0.4511 0.8994
Rh 0.2500 0.5819 0.4923
Rh 0.2500 0.9181 0.4923
Rh 0.7500 0.0819 0.5077
Rh 0.7500 0.4181 0.5077
Rh 0.7500 0.5489 0.1006
Rh 0.7500 0.7500 0.4810
Rh 0.7500 0.7500 0.9854
Rh 0.7500 0.9511 0.1006